{
  "formula": "TbDy7Er5",
  "functional": "PBE",
  "state": "optimized geometry",
  "total_magnetization_mub_per_cell": 0.00,
  "crystal_system": "orthorhombic",
  "n_ef_per_ev_cell": 25.544,
  "final_energy_ev_per_atom": -4.332,
  "lattice_angstrom": [[6.2104, 0.0000, 2.2758], [2.9779, 7.9585, 1.4853], [0.3643, -0.1301, 8.6175]],
  "species": ["Er", "Er", "Er", "Er", "Er", "Dy", "Dy", "Dy", "Dy", "Dy", "Dy", "Dy", "Tb"],
  "fractional_positions": [[0.0024, 0.4592, 0.0029], [0.0024, 0.0029, 0.4592], [0.7695, 0.7305, 0.7305], [0.5354, 0.0029, 0.4592], [0.5354, 0.4592, 0.0029], [0.5760, 0.4240, 0.4240], [0.5198, 0.8088, 0.1516], [0.0186, 0.3100, 0.6528], [0.5198, 0.1516, 0.8088], [0.2693, 0.7307, 0.7307], [0.2694, 0.2306, 0.2306], [0.0186, 0.6528, 0.3100], [0.9631, 0.0369, 0.0369]]
}